CaMgPS2 after structural relaxation, computed with PBE.

Cell: 5.1497 5.1756 5.1497 Å, 90.00 90.00 90.00°
With the nearest neighbours (Å) after each atom.
Atoms (fractional coordinates):
S: 0.0000 0.0000 0.5000  2 Ca 2.57
S: 0.5000 0.0000 0.0000  2 Ca 2.57
Mg: 0.5000 0.5000 0.5000  4 P 3.64, 8 S 3.65
P: 0.0000 0.5000 0.0000  2 Ca 2.59
Ca: 0.0000 0.0000 0.0000  4 S 2.57, 2 P 2.59

* calculated total energy: -3.222 eV/atom

---

CaMgPS2 after structural relaxation, computed with PBE.

Cell: 4.8917 4.7424 4.8917 Å, 90.00 90.00 90.00°
With the nearest neighbours (Å) after each atom.
Atoms (fractional coordinates):
S: 0.5000 0.0000 0.0000  2 Mg 2.45
S: 0.0000 0.0000 0.5000  2 Mg 2.45
Mg: 0.0000 0.0000 0.0000  2 P 2.37, 4 S 2.45
P: 0.0000 0.5000 0.0000  2 Mg 2.37
Ca: 0.5000 0.5000 0.5000  8 S 3.41, 4 P 3.46

* calculated total energy: -3.857 eV/atom

---

Short version: V = 137, 113 Å³/cell, in the order given.
Short version: energy relative to the elements, uncorrected = 0.23, -0.41 eV per atom, in the order given.